(1)
The following is a PBE calculation of a geometry-optimized Ca2MoW structure, from the Alexandria database.

* E above lowest polymorph: 1.87 eV per formula unit
* calculated formation energy: 0.895 eV per atom

Cell lengths 2.815, 5.215, 5.645 Å; angles 90.00, 95.85, 90.00 degrees
Space group P2/m (No. 10)
Asymmetric unit:
Ca: 0.004 0.000 0.250
Mo: 0.500 0.500 0.500
W: 0.500 0.500 0.000

(2)
The following is a PBE calculation of a geometry-optimized CaMoW structure, from the Alexandria database.

* E above lowest polymorph: 0.96 eV per formula unit
* calculated formation energy: 0.866 eV per atom

Cell lengths 2.716, 2.716, 15.418 Å; angles 90.00, 90.00, 90.00 degrees
Space group I4mm (No. 107)
Asymmetric unit:
Ca: 0.000 0.000 0.000
Mo: 0.000 0.000 0.676
W: 0.000 0.000 0.326

(3)
The following is a PBE calculation of a geometry-optimized CaMoW structure, from the Alexandria database.

* E above lowest polymorph: 0.89 eV per formula unit
* calculated formation energy: 0.845 eV per atom

Cell lengths 2.718, 5.094, 8.268 Å; angles 90.00, 90.00, 90.00 degrees
Space group Imm2 (No. 44)
Asymmetric unit:
Ca: 0.000 0.000 0.000
Mo: 0.000 0.000 0.657
W: 0.000 0.000 0.347

(4)
The following is a PBE calculation of a geometry-optimized CaMoW structure, from the Alexandria database.

* E above lowest polymorph: 0.64 eV per formula unit
* calculated formation energy: 0.762 eV per atom

Cell lengths 4.8164, 4.8164, 2.7784 Å; angles 90.00, 90.00, 120.00 degrees
Space group P3m1 (No. 156)
Asymmetric unit:
Ca: 0.0000 0.0000 0.0000
Mo: 0.6667 0.3333 0.3668
W: 0.3333 0.6667 0.6110